1.
RbCd2Pd2: relaxed, PBE-GGA.

The structure belongs to space group I4/mmm (No. 139); the cell edges are 4.6653, 4.6653 and 11.5512 Å and the angles 90.00°, 90.00° and 90.00°. The distinct sites, in fractional coordinates, are Rb at (0.0000, 0.0000, 0.0000), Cd at (0.0000, 0.5000, 0.2500) and Pd at (0.0000, 0.0000, 0.3822).

The formation energy comes out at -126 meV/atom. Its total magnetization is 0.000 μB/f.u. Its polymorph energy (0 for the lowest one) is 0.057 eV/atom. The value obtained for the raw total energy is -2.7629 eV per atom.

---

2.
Rb2CdPdS: relaxed, PBE-GGA.

The structure belongs to space group P4/mmm (No. 123); the cell edges are 6.3423, 6.3423 and 4.9951 Å and the angles 90.00°, 90.00° and 90.00°. The distinct sites, in fractional coordinates, are Rb at (0.0000, 0.5000, 0.0000), Cd at (0.0000, 0.0000, 0.5000), Pd at (0.5000, 0.5000, 0.5000) and S at (0.0000, 0.0000, 0.0000).

For the raw formation energy, the calculation gives -0.04 eV per atom. Its total magnetization is 0.000 μB/f.u. The value obtained for the raw total energy is -2.4700 eV per atom.

---

3.
RbCd2SbPd: relaxed, PBE-GGA.

The structure belongs to space group P4/mmm (No. 123); the cell edges are 5.3403, 5.3403 and 5.3073 Å and the angles 90.00°, 90.00° and 90.00°. The distinct sites, in fractional coordinates, are Rb at (0.0000, 0.0000, 0.0000), Cd at (0.0000, 0.5000, 0.5000), Sb at (0.5000, 0.5000, 0.0000) and Pd at (0.5000, 0.5000, 0.5000).

For the raw formation energy, the calculation gives -0.17 eV per atom. Its total magnetization is 0.000 μB/f.u. The value obtained for the raw total energy is -2.5900 eV per atom.

---

4.
RbCdSbPd2: relaxed, PBE-GGA.

The structure belongs to space group P4/mmm (No. 123); the cell edges are 5.0805, 5.0805 and 6.8327 Å and the angles 90.00°, 90.00° and 90.00°. The distinct sites, in fractional coordinates, are Rb at (0.0000, 0.0000, 0.0000), Cd at (0.5000, 0.5000, 0.0000), Sb at (0.0000, 0.0000, 0.5000) and Pd at (0.0000, 0.5000, 0.5000).

For the raw formation energy, the calculation gives 0.28 eV per atom. Its total magnetization is 0.000 μB/f.u. The value obtained for the raw total energy is -2.9988 eV per atom.